The following is a DFT calculation (PBE) of a geometry-optimized ThPb2Au structure.

Output
As for the density of states at the Fermi level: 0.576 states/eV/atom. The crystal system is tetragonal. The calculation puts the formation enthalpy at 0 K at -0.3219 eV/atom. Its offset from the most stable computed form is 0 meV/atom.

CIF file:
```
data_ThPb2Au
_chemical_formula_sum 'Th1 Pb2 Au1'
_cell_length_a 4.782
_cell_length_b 4.782
_cell_length_c 4.668
_cell_angle_alpha 90.00
_cell_angle_beta 90.00
_cell_angle_gamma 90.00
_symmetry_space_group_name_H-M 'P 4/m m m'
_symmetry_Int_Tables_number 123
_symmetry_space_group_name_Hall '-P 4 2'
loop_
_atom_site_label
_atom_site_type_symbol
_atom_site_fract_x
_atom_site_fract_y
_atom_site_fract_z
Th1 Th 0.000 0.000 0.000
Pb1 Pb 0.000 0.500 0.500
Au1 Au 0.500 0.500 0.000
```